A relaxed CaBiRuF2 crystal, computed with PBE. Values from VASP.

- E: -23.30 eV per cell
- Space group: No. 123
- Formation energy from raw total energies: -0.88 eV/atom
- D(E_F): 4.755 states/eV/cell

Geometry as Quantum ESPRESSO input:
```
&SYSTEM
  ibrav = 0, nat = 5, ntyp = 4
/
ATOMIC_SPECIES
Ca 40.08 Ca.upf
Bi 208.98 Bi.upf
Ru 101.07 Ru.upf
F 19.00 F.upf
ATOMIC_POSITIONS crystal
Ca 0.000 0.000 0.000
Bi 0.500 0.500 0.000
Ru 0.500 0.500 0.500
F 0.000 0.500 0.500
F 0.500 0.000 0.500
CELL_PARAMETERS angstrom
4.388 0.000 0.000
0.000 4.388 0.000
0.000 0.000 5.476
```